## Ti2CrCdF (GGA+U)

Data for crystalline Ti2CrCdF at its relaxed geometry.

abc: 4.1932 4.1932 4.7490
angles: 90.00 90.00 90.00
With the nearest neighbours (Å) after each atom.
Atoms (fractional coordinates):
Ti: 0.0000 0.5000 0.0000  2 F 2.10
Ti: 0.5000 0.0000 0.0000  2 F 2.10
Cr: 0.0000 0.0000 0.5000  2 F 2.37
Cd: 0.5000 0.5000 0.5000  4 Cr 2.97, 8 Ti 3.17
F: 0.0000 0.0000 0.0000  4 Ti 2.10

Calculated values
For the density, the calculation gives 5.6 Mg/m³. The total energy is -27.76 eV per cell. The calculation puts the spin magnetization at 0.48 μB per atom.